Compound: MgB2S
Source: the Alexandria database
Functional: PBE-GGA
Structure: optimized geometry

Unit cell a=3.6136 b=4.4944 c=7.7058 alpha=79.47 beta=80.29 gamma=69.12
With the nearest neighbours (Å) after each atom.
Fractional coordinates of all 8 atoms:
Mg  0.2060  0.0403  0.2703  6 B 2.39-2.61, 2 S 2.49-2.64
Mg  0.5730  0.5349  0.7518  4 S 2.48-2.61, 2 B 2.57-2.61
S  0.8888  0.9329  0.7754  1 B 1.92
S  0.7940  0.6578  0.4132  1 B 2.00
B  0.7789  0.5796  0.1681  4 B 1.74-1.94
B  0.8888  0.9115  0.0271  3 B 1.67-1.80
B  0.6902  0.2844  0.0803  3 B 1.57-1.74
B  0.3036  0.5883  0.0795  2 B 1.57-1.72

Calculated values
formation energy from raw total energies	-248	meV/atom
energy	-40.14	eV per cell
offset from the most stable computed form	12.66	kJ per mole of atoms